# 1
# MgTlSi2 | Alexandria | PBE | optimized geometry
data_MgTlSi2
_chemical_formula_sum 'Mg4 Tl4 Si8'
_space_group_name_H-M_alt 'F -4 3 m'
_space_group_IT_number 216
_space_group_name_Hall 'F -4 2 3'
_cell_length_a 6.879
_cell_length_b 6.879
_cell_length_c 6.879
_cell_angle_alpha 90.00
_cell_angle_beta 90.00
_cell_angle_gamma 90.00
loop_
_atom_site_label
_atom_site_fract_x
_atom_site_fract_y
_atom_site_fract_z
_atom_site_occupancy
Mg1 0.000 0.000 0.000 1
Tl1 0.250 0.250 0.250 1
Si1 0.000 0.000 0.500 1
Si2 0.250 0.250 0.750 1
# Energy above the lowest structure with this stoichiometry ... 289 meV/atom
# Formation energy (no corrections) ... 447 meV per atom



# 2
# SrPdSe | Alexandria | PBE | optimized geometry
data_SrPdSe
_chemical_formula_sum 'Sr2 Pd2 Se2'
_space_group_name_H-M_alt 'P m m a'
_space_group_IT_number 51
_space_group_name_Hall '-P 2a 2a'
_cell_length_a 5.502
_cell_length_b 4.165
_cell_length_c 6.648
_cell_angle_alpha 90.00
_cell_angle_beta 90.00
_cell_angle_gamma 90.00
loop_
_atom_site_label
_atom_site_fract_x
_atom_site_fract_y
_atom_site_fract_z
_atom_site_occupancy
Sr1 0.250 0.000 0.211 1
Pd1 0.000 0.500 0.500 1
Se1 0.250 0.500 0.814 1
# Formation energy (no corrections) ... -1168 meV per atom



# 3
# Ti6SnH | Alexandria | PBE | optimized geometry
data_Ti6SnH
_chemical_formula_sum 'Ti18 Sn3 H3'
_space_group_name_H-M_alt 'R -3 m'
_space_group_IT_number 166
_space_group_name_Hall '-R 3 2"'
_cell_length_a 8.0335
_cell_length_b 8.0335
_cell_length_c 6.7675
_cell_angle_alpha 90.00
_cell_angle_beta 90.00
_cell_angle_gamma 120.00
loop_
_atom_site_label
_atom_site_fract_x
_atom_site_fract_y
_atom_site_fract_z
_atom_site_occupancy
Ti1 0.0768 0.5384 0.3169 1
Sn1 0.0000 0.0000 0.0000 1
H1 0.0000 0.0000 0.5000 1
# VASP energy ... -168.18 eV per cell



# 4
# TbSm2HgN | Alexandria | PBE | optimized geometry
data_TbSm2HgN
_chemical_formula_sum 'Tb1 Sm2 Hg1 N1'
_space_group_name_H-M_alt 'P 4/m m m'
_space_group_IT_number 123
_space_group_name_Hall '-P 4 2'
_cell_length_a 4.949
_cell_length_b 4.949
_cell_length_c 4.821
_cell_angle_alpha 90.00
_cell_angle_beta 90.00
_cell_angle_gamma 90.00
loop_
_atom_site_label
_atom_site_fract_x
_atom_site_fract_y
_atom_site_fract_z
_atom_site_occupancy
Tb1 0.000 0.000 0.000 1
Sm1 0.000 0.500 0.500 1
Hg1 0.500 0.500 0.000 1
N1 0.000 0.000 0.500 1
# Formation energy (no corrections) ... -844 meV per atom



# 5
# Cs2CaH6Rh | Alexandria | PBE | optimized geometry
data_Cs2CaH6Rh
_chemical_formula_sum 'Cs2 Ca1 H6 Rh1'
_space_group_name_H-M_alt 'P -3 m 1'
_space_group_IT_number 164
_space_group_name_Hall '-P 3 2"'
_cell_length_a 6.5744
_cell_length_b 6.5744
_cell_length_c 5.7635
_cell_angle_alpha 90.00
_cell_angle_beta 90.00
_cell_angle_gamma 120.00
loop_
_atom_site_label
_atom_site_fract_x
_atom_site_fract_y
_atom_site_fract_z
_atom_site_occupancy
Cs1 0.3333 0.6667 0.3556 1
Ca1 0.0000 0.0000 0.0000 1
H1 0.1217 0.2433 0.6713 1
Rh1 0.0000 0.0000 0.5000 1
# VASP energy ... -34.52 eV per cell



# 6
# SbPO2F | Alexandria | PBE | optimized geometry
data_SbPO2F
_chemical_formula_sum 'Sb1 P1 O2 F1'
_space_group_name_H-M_alt 'P 4/m m m'
_space_group_IT_number 123
_space_group_name_Hall '-P 4 2'
_cell_length_a 4.141
_cell_length_b 4.141
_cell_length_c 4.322
_cell_angle_alpha 90.00
_cell_angle_beta 90.00
_cell_angle_gamma 90.00
loop_
_atom_site_label
_atom_site_fract_x
_atom_site_fract_y
_atom_site_fract_z
_atom_site_occupancy
Sb1 0.000 0.000 0.000 1
P1 0.500 0.500 0.500 1
O1 0.000 0.500 0.000 1
F1 0.000 0.000 0.500 1
# Formation energy (no corrections) ... -362 meV per atom



# 7
# NaLi2Au5 | Alexandria | PBE | optimized geometry
data_NaLi2Au5
_chemical_formula_sum 'Na2 Li4 Au10'
_space_group_name_H-M_alt 'I m m m'
_space_group_IT_number 71
_space_group_name_Hall '-I 2 2'
_cell_length_a 3.873
_cell_length_b 7.871
_cell_length_c 9.719
_cell_angle_alpha 90.00
_cell_angle_beta 90.00
_cell_angle_gamma 90.00
loop_
_atom_site_label
_atom_site_fract_x
_atom_site_fract_y
_atom_site_fract_z
_atom_site_occupancy
Na1 0.000 0.000 0.000 1
Li1 0.000 0.500 0.262 1
Au1 0.000 0.192 0.347 1
Au2 0.000 0.500 0.000 1
# VASP energy ... -47.74 eV per cell



Question: Number 5 is which compound?
Answer: Cs2CaH6Rh



Question: What is the formula in the second record?
Answer: SrPdSe



Question: What is the formula in the sixth record?
Answer: SbPO2F